Here is crystalline NaHPb2F6 at its relaxed geometry from the Alexandria database. Energies are from PBE.

Results
**Space-group type**: P2_1/c, No. 14

```
20
Lattice="-2.270 -1.199 -5.981 -3.617 -0.914 1.556 -2.799 11.205 0.073" Properties=species:S:1:pos:R:3 pbc="T T T"
Na -3.208 5.146 0.815
Na -1.135 -0.599 -2.990
H -1.809 -0.457 0.778
H -2.535 5.003 -2.954
Pb -3.184 0.907 -5.747
Pb -4.202 2.245 -2.077
Pb -4.485 6.847 -2.274
Pb -5.503 8.185 1.395
F -5.179 6.315 -4.701
F -5.805 9.455 -4.715
F -3.528 2.875 -4.378
F -4.556 0.101 -3.146
F -5.830 4.536 -2.413
F -6.734 7.606 -2.307
F -1.953 1.487 -2.044
F -2.856 4.557 -1.939
F -4.130 8.992 -1.206
F -2.882 -0.363 0.363
F -5.158 6.217 0.026
F -3.508 2.777 0.349
```

Here is crystalline NaH2PdF8 at its relaxed geometry from the Alexandria database. Energies are from PBE.

Results
**Space-group type**: P-1, No. 2

```
12
Lattice="-4.481 0.206 2.179 -0.246 -3.916 2.718 3.671 3.006 4.979" Properties=species:S:1:pos:R:3 pbc="T T T"
Na 1.836 1.503 2.489
H 0.307 1.045 5.056
H -1.363 -1.749 4.819
Pd 0.000 0.000 0.000
F -0.358 -2.257 3.737
F 0.085 0.127 8.613
F -2.958 -0.190 3.271
F -0.697 1.553 6.138
F -1.140 -0.831 1.261
F 1.902 -0.514 6.603
F -1.715 -1.327 5.617
F 0.660 0.623 4.257
```

Here is crystalline NaH2PtF8 at its relaxed geometry from the Alexandria database. Energies are from PBE.

Results
**Space-group type**: P-1, No. 2

```
12
Lattice="4.956 0.635 -0.336 0.660 4.790 0.040 -0.502 0.131 6.902" Properties=species:S:1:pos:R:3 pbc="T T T"
Na -0.251 0.066 3.451
H 2.106 1.659 4.453
H 3.009 3.897 2.153
Pt 0.000 0.000 0.000
F 1.542 3.881 1.545
F 3.732 4.249 6.601
F 4.015 1.605 1.038
F 3.573 1.675 5.061
F 1.383 1.307 0.005
F 1.100 3.952 5.568
F 3.728 3.913 2.798
F 1.387 1.643 3.808
```

Here is crystalline NaH2PtF at its relaxed geometry from the Alexandria database. Energies are from PBE.

Results
**Space-group type**: P4/mmm, No. 123

```
5
Lattice="-0.611 -3.253 -2.092 3.252 -1.525 1.422 -2.023 -1.537 2.980" Properties=species:S:1:pos:R:3 pbc="T T T"
Na 1.626 -0.762 0.711
H -1.011 -0.768 1.490
H -0.305 -1.626 -1.046
Pt 0.309 -3.157 1.155
F 0.000 0.000 0.000
```

Here is crystalline NaHPtF6 at its relaxed geometry from the Alexandria database. Energies are from PBE.

Results
**Space-group type**: P312, No. 149

```
9
Lattice="5.119 0.000 0.000 0.000 4.962 0.000 0.000 -2.481 4.297" Properties=species:S:1:pos:R:3 pbc="T T T"
Na 0.000 0.000 2.865
H 2.559 2.481 1.432
Pt 2.559 0.000 0.000
F 3.606 1.762 2.795
F 3.606 1.660 0.129
F 3.606 4.021 1.374
F 1.513 0.942 1.374
F 1.513 3.302 0.129
F 1.513 3.200 2.795
```

Here is crystalline NaPuH2F6 at its relaxed geometry from the Alexandria database. Energies are from PBE.

Results
**Space-group type**: P2_1/c, No. 14

```
20
Lattice="-3.508 1.627 0.912 0.435 -2.632 6.371 3.499 8.550 3.292" Properties=species:S:1:pos:R:3 pbc="T T T"
Na 0.218 -1.316 3.186
Na -0.005 5.088 2.102
Pu 1.967 2.959 4.832
Pu -1.754 0.814 0.456
H 0.529 2.693 1.834
H -0.228 0.547 4.743
H 0.654 6.998 5.832
H -0.103 4.852 8.741
F -0.275 6.539 6.303
F -3.142 1.593 2.162
F -2.003 4.609 3.290
F -1.147 -0.088 5.036
F -0.003 2.901 6.231
F 0.896 4.891 9.286
F -0.470 2.654 1.289
F 0.429 4.644 4.344
F 1.573 7.633 5.540
F 3.568 5.952 8.414
F 2.429 2.936 7.285
F 0.701 1.006 4.272
```

Here is crystalline Rb3NaH2F6 at its relaxed geometry from the Alexandria database. Energies are from PBE.

Results
**Space-group type**: P-3m1, No. 164

```
12
Lattice="5.730 0.000 0.000 -2.865 4.963 0.000 0.000 0.000 6.982" Properties=species:S:1:pos:R:3 pbc="T T T"
Rb 0.000 3.308 4.742
Rb 2.865 1.654 2.240
Rb 0.000 0.000 0.000
Na 0.000 0.000 3.491
H 2.865 1.654 4.970
H 0.000 3.308 2.012
F 1.206 4.005 2.056
F 0.000 1.916 2.056
F -1.206 4.005 2.056
F 2.865 3.047 4.926
F 1.659 0.958 4.926
F 4.071 0.958 4.926
```

Here is crystalline NaHSe2F at its relaxed geometry from the Alexandria database. Energies are from PBE.

Results
**Space-group type**: P4/mmm, No. 123

```
5
Lattice="-2.014 3.758 3.505 -3.624 -0.670 -1.364 -0.707 -3.932 3.809" Properties=species:S:1:pos:R:3 pbc="T T T"
Na 0.000 0.000 0.000
H -3.172 -0.422 2.976
Se -0.353 -1.966 1.905
Se -1.007 1.879 1.753
F -1.812 -0.335 -0.682
```

Here is crystalline NaHSeF2 at its relaxed geometry from the Alexandria database. Energies are from PBE.

Results
**Space-group type**: P4/mmm, No. 123

```
5
Lattice="4.531 0.000 0.000 0.000 3.322 0.000 0.000 0.000 4.531" Properties=species:S:1:pos:R:3 pbc="T T T"
Na 2.266 1.661 2.266
H 0.000 0.000 0.000
Se 0.000 1.661 0.000
F 0.000 0.000 2.266
F 2.266 0.000 0.000
```

Here is crystalline Na2SiH5F at its relaxed geometry from the Alexandria database. Energies are from PBE.

Results
**Space-group type**: I4mm, No. 107

```
9
Lattice="5.199 -0.192 -0.279 -2.637 4.484 0.279 -2.637 -1.336 4.289" Properties=species:S:1:pos:R:3 pbc="T T T"
Na 0.005 -0.003 3.110
Na 0.005 2.907 1.104
Si -0.051 0.030 0.044
H 1.126 0.634 0.921
H -1.250 2.350 3.410
H -2.661 3.192 1.199
H -2.661 -0.016 3.410
H -1.148 0.685 0.994
F -4.068 2.427 3.523
```

Here is crystalline Na2TcHF at its relaxed geometry from the Alexandria database. Energies are from PBE.

Results
**Space-group type**: P4/mmm, No. 123

```
5
Lattice="-3.727 4.525 0.443 -2.938 -2.258 -1.664 -1.608 -1.847 5.345" Properties=species:S:1:pos:R:3 pbc="T T T"
Na -0.804 -0.924 2.672
Na -1.864 2.262 0.221
Tc 0.000 0.000 0.000
H -4.137 0.210 2.062
F -1.469 -1.129 -0.832
```

Here is crystalline NaTl3H2F6 at its relaxed geometry from the Alexandria database. Energies are from PBE.

Results
**Space-group type**: P-3m1, No. 164

```
12
Lattice="-0.368 -2.711 5.014 -0.317 -2.958 -4.876 6.860 -0.828 0.056" Properties=species:S:1:pos:R:3 pbc="T T T"
Na 3.430 -0.414 0.028
Tl 4.441 -3.452 -1.540
Tl 1.734 -3.045 1.735
Tl 0.000 0.000 0.000
H 4.493 -3.378 1.757
H 1.682 -3.119 -1.563
F 1.585 -4.299 -0.841
F 1.873 -1.917 -0.899
F 1.740 -3.160 -2.948
F 4.302 -4.580 1.093
F 4.590 -2.198 1.035
F 4.435 -3.337 3.142
```

| no. | total DFT energy (no corrections) (eV/atom) | size of the total moment (μB per cell) |
| --- | --- | --- |
| 1 | -4.61 | 0.00 |
| 2 | -3.89 | 1.07 |
| 3 | -4.05 | 1.05 |
| 4 | -2.70 | 0.00 |
| 5 | -3.93 | 0.00 |
| 6 | -6.00 | 10.00 |
| 7 | -4.07 | 0.14 |
| 8 | -2.19 | 1.11 |
| 9 | -3.22 | 1.93 |
| 10 | -3.56 | 0.00 |
| 11 | -3.29 | 3.00 |
| 12 | -3.92 | 0.00 |